Entry 1:
Ag2PI6 after structural relaxation, computed with PBE.

POSCAR file:
```
Ag2PI6
1.0
6.561 0.108 2.280
3.508 10.804 -0.017
-0.264 -0.096 11.356
I P Ag
12 2 4
direct
0.119 0.233 0.563 I
0.914 0.265 0.941 I
0.381 0.437 0.767 I
0.881 0.767 0.437 I
0.619 0.563 0.233 I
0.618 0.661 0.834 I
0.086 0.735 0.059 I
0.118 0.834 0.661 I
0.882 0.166 0.339 I
0.414 0.941 0.265 I
0.382 0.339 0.166 I
0.586 0.059 0.735 I
0.750 0.752 0.248 P
0.250 0.248 0.752 P
0.482 0.170 0.334 Ag
0.982 0.334 0.170 Ag
0.518 0.830 0.666 Ag
0.018 0.666 0.830 Ag
```

D(E_F) = 5.1 states/eV/f.u.
ρ = 4.2 g/cm³
Size of the total moment = 0.0 μB/f.u.
Space-group type = C2/c
Formation energy from raw total energies = -0.0667 eV per atom

---

Entry 2:
CuNiMoRu after structural relaxation, computed with PBE.

POSCAR file:
```
CuNiMoRu
1.0
-2.553 0.457 -3.342
-4.064 -1.142 0.272
-3.029 2.953 0.040
Cu Ni Ru Mo
1 1 1 1
direct
0.500 0.500 0.500 Cu
0.750 0.750 0.750 Ni
0.250 0.250 0.250 Ru
0.000 0.000 0.000 Mo
```

Energy relative to the elements = 158 meV per atom
D(E_F) = 5.0 states/eV/f.u.
ρ = 9.9 g/cm³
Size of the total moment = 0.0 μB/f.u.
Space-group type = F-43m

---

Entry 3:
LaEr6Tm4 after structural relaxation, computed with PBE.

POSCAR file:
```
LaEr6Tm4
1.0
7.657 0.000 0.000
0.000 7.657 0.000
-3.829 -3.829 6.414
Er Tm La
6 4 1
direct
0.941 0.434 0.375 Er
0.000 0.500 0.000 Er
0.434 0.941 0.375 Er
0.566 0.566 0.625 Er
0.059 0.059 0.625 Er
0.500 0.000 0.000 Er
0.085 0.763 0.848 Tm
0.763 0.085 0.848 Tm
0.915 0.915 0.152 Tm
0.237 0.237 0.152 Tm
0.500 0.500 0.000 La
```

Energy relative to the elements = 447 meV per atom
D(E_F) = 17.6 states/eV/f.u.
ρ = 8.0 g/cm³
Size of the total moment = 0.0 μB/f.u.
Space-group type = I-42m

---

Entry 4:
NaEu2Lu after structural relaxation, computed with PBE.

POSCAR file:
```
NaEu2Lu
1.0
-3.650 1.365 0.131
-2.123 -5.727 0.523
0.376 0.418 6.105
Eu Na Lu
2 1 1
direct
0.000 0.500 0.000 Eu
0.000 0.000 0.500 Eu
0.500 0.500 0.500 Na
0.500 0.000 0.000 Lu
```

Energy relative to the elements = 171 meV per atom
D(E_F) = 9.4 states/eV/f.u.
ρ = 5.7 g/cm³
Size of the total moment = 14.9 μB/f.u.
Space-group type = P4/mmm

---

Entry 5:
CuReP2 after structural relaxation, computed with PBE.

POSCAR file:
```
CuReP2
1.0
6.389 0.009 -0.005
4.863 4.144 0.005
-5.565 -2.241 2.197
Re P Cu
1 2 1
direct
0.542 0.542 0.000 Re
0.955 0.955 0.000 P
0.700 0.200 0.500 P
0.303 0.803 0.500 Cu
```

Energy relative to the elements = 34 meV per atom
D(E_F) = 1.5 states/eV/f.u.
ρ = 8.9 g/cm³
Size of the total moment = 0.0 μB/f.u.
Space-group type = Imm2

---

Entry 6:
LiFe2H after structural relaxation, computed with PBE.

POSCAR file:
```
LiFe2H
1.0
-2.109 0.674 1.255
-1.126 -1.651 1.576
2.925 2.116 6.362
Fe Li H
2 1 1
direct
0.113 0.113 0.661 Fe
0.887 0.887 0.339 Fe
0.000 0.000 0.000 Li
0.500 0.500 0.500 H
```

D(E_F) = 2.4 states/eV/f.u.
Energy = -5.36 eV per atom
ρ = 4.9 g/cm³
Size of the total moment = 4.6 μB/f.u.
Space-group type = R-3m

---

Entry 7:
DyPuTe2 after structural relaxation, computed with PBE.

POSCAR file:
```
DyPuTe2
1.0
4.367 0.000 0.000
2.184 3.782 0.000
2.184 1.261 7.253
Te Dy Pu
2 1 1
direct
0.748 0.748 0.755 Te
0.252 0.252 0.245 Te
0.000 0.000 0.000 Dy
0.500 0.500 0.500 Pu
```

D(E_F) = 10.6 states/eV/f.u.
ρ = 9.2 g/cm³
Size of the total moment = 6.0 μB/f.u.
Space-group type = R-3m
Formation energy from raw total energies = -1.2137 eV per atom

---

Entry 8:
Dy5TmNi2 after structural relaxation, computed with PBE.

POSCAR file:
```
Dy5TmNi2
1.0
3.630 0.000 0.000
-1.815 6.511 0.000
0.000 0.000 18.241
Ni Dy Tm
4 10 2
direct
0.302 0.603 0.640 Ni
0.698 0.397 0.360 Ni
0.698 0.397 0.140 Ni
0.302 0.603 0.860 Ni
0.939 0.878 0.585 Dy
0.061 0.122 0.415 Dy
0.061 0.122 0.085 Dy
0.323 0.646 0.063 Dy
0.545 0.090 0.250 Dy
0.677 0.354 0.563 Dy
0.677 0.354 0.937 Dy
0.455 0.910 0.750 Dy
0.323 0.646 0.437 Dy
0.939 0.878 0.915 Dy
0.265 0.531 0.250 Tm
0.735 0.469 0.750 Tm
```

Energy relative to the elements = -159 meV per atom
D(E_F) = 9.8 states/eV/f.u.
ρ = 8.5 g/cm³
Size of the total moment = 0.0 μB/f.u.
Space-group type = Cmcm

---

Entry 9:
K3NaBe2H8 after structural relaxation, computed with PBE.

POSCAR file:
```
K3NaBe2H8
1.0
5.511 0.000 0.000
-2.756 4.773 0.000
0.000 0.000 7.302
H Na Be K
8 1 2 3
direct
0.190 0.380 0.317 H
0.380 0.190 0.683 H
0.667 0.333 0.950 H
0.810 0.620 0.683 H
0.810 0.190 0.683 H
0.190 0.810 0.317 H
0.620 0.810 0.317 H
0.333 0.667 0.050 H
0.000 0.000 0.500 Na
0.333 0.667 0.245 Be
0.667 0.333 0.755 Be
0.000 0.000 0.000 K
0.333 0.667 0.691 K
0.667 0.333 0.309 K
```

D(E_F) = 0.0 states/eV/f.u.
Energy = -3.07 eV per atom
ρ = 1.4 g/cm³
Size of the total moment = 0.0 μB/f.u.
Space-group type = P-3m1

---

Entry 10:
NdHoBr2 after structural relaxation, computed with PBE.

POSCAR file:
```
NdHoBr2
1.0
3.654 0.000 0.000
1.827 3.165 0.000
1.827 1.055 10.225
Nd Br Ho
1 2 1
direct
0.000 0.000 0.000 Nd
0.099 0.099 0.702 Br
0.901 0.901 0.298 Br
0.500 0.500 0.500 Ho
```

D(E_F) = 3.7 states/eV/f.u.
ρ = 6.6 g/cm³
Size of the total moment = 0.4 μB/f.u.
Space-group type = R-3m
Formation energy from raw total energies = -0.9832 eV per atom

---

Entry 11:
GaCo3Br9 after structural relaxation, computed with PBE.

POSCAR file:
```
GaCo3Br9
1.0
8.114 0.000 3.415
3.873 9.692 2.144
0.212 -0.736 10.846
Co Br Ga
6 18 2
direct
0.844 0.523 0.701 Co
0.932 0.023 0.201 Co
0.997 0.958 0.813 Co
0.436 0.749 0.213 Co
0.601 0.249 0.713 Co
0.232 0.458 0.313 Co
0.318 0.209 0.308 Br
0.755 0.917 0.385 Br
0.083 0.575 0.525 Br
0.467 0.263 0.554 Br
0.009 0.554 0.212 Br
0.812 0.357 0.598 Br
0.166 0.709 0.808 Br
0.925 0.223 0.256 Br
0.943 0.417 0.885 Br
0.777 0.009 0.718 Br
0.596 0.723 0.756 Br
0.225 0.054 0.712 Br
0.233 0.857 0.098 Br
0.496 0.509 0.218 Br
0.816 0.075 0.025 Br
0.352 0.857 0.421 Br
0.370 0.357 0.921 Br
0.716 0.763 0.054 Br
0.031 0.563 0.974 Ga
0.431 0.063 0.474 Ga
```

D(E_F) = 1.7 states/eV/f.u.
ρ = 3.8 g/cm³
Size of the total moment = 9.0 μB/f.u.
Space-group type = Cc
Formation energy from raw total energies = -0.3657 eV per atom

---

Entry 12:
TbMgZr2 after structural relaxation, computed with PBE.

POSCAR file:
```
TbMgZr2
1.0
-3.040 -0.625 -1.000
-0.390 -2.077 2.484
-3.145 6.880 5.258
Zr Mg Tb
2 1 1
direct
0.000 0.000 0.239 Zr
0.000 0.000 0.761 Zr
0.500 0.500 0.000 Mg
0.500 0.500 0.500 Tb
```

Energy relative to the elements = 99 meV per atom
D(E_F) = 4.0 states/eV/f.u.
ρ = 6.2 g/cm³
Size of the total moment = 0.0 μB/f.u.
Space-group type = P4/mmm

---

Entry 13:
Ba2Li5Ag4 after structural relaxation, computed with PBE.

POSCAR file:
```
Ba2Li5Ag4
1.0
5.807 0.000 0.000
2.904 7.327 -0.090
2.904 1.763 6.867
Li Ag Ba
5 4 2
direct
0.201 0.243 0.857 Li
0.699 0.243 0.857 Li
0.301 0.757 0.143 Li
0.000 0.500 0.500 Li
0.799 0.757 0.143 Li
0.221 0.454 0.104 Ag
0.619 0.945 0.818 Ag
0.779 0.546 0.896 Ag
0.381 0.055 0.182 Ag
0.283 0.776 0.658 Ba
0.717 0.224 0.342 Ba
```

Energy relative to the elements = -145 meV per atom
D(E_F) = 5.2 states/eV/f.u.
ρ = 4.2 g/cm³
Size of the total moment = 0.0 μB/f.u.
Space-group type = C2/m

---

Entry 14:
RbPbCl2 after structural relaxation, computed with PBE.

POSCAR file:
```
RbPbCl2
1.0
7.000 -5.735 1.824
8.851 -2.391 -1.075
8.362 -1.496 3.613
Cl Rb Pb
2 1 1
direct
0.118 0.118 0.118 Cl
0.882 0.882 0.882 Cl
0.000 0.000 0.000 Rb
0.500 0.500 0.500 Pb
```

D(E_F) = 2.3 states/eV/f.u.
ρ = 3.4 g/cm³
Size of the total moment = 0.0 μB/f.u.
Space-group type = R-3m
Formation energy from raw total energies = -0.9453 eV per atom

---

Entry 15:
NbH3Pd after structural relaxation, computed with PBE.

POSCAR file:
```
NbH3Pd
1.0
-2.235 -1.285 2.494
2.667 -1.963 1.379
0.871 2.713 2.178
Pd H Nb
1 3 1
direct
0.500 0.500 0.500 Pd
0.000 0.000 0.500 H
0.500 0.000 0.000 H
0.000 0.500 0.000 H
0.000 0.000 0.000 Nb
```

D(E_F) = 1.7 states/eV/f.u.
Energy = -4.87 eV per atom
ρ = 7.3 g/cm³
Size of the total moment = 0.0 μB/f.u.
Space-group type = Pm-3m

---

Entry 16:
Be3NiHg after structural relaxation, computed with PBE.

POSCAR file:
```
Be3NiHg
1.0
4.069 0.000 0.000
0.000 4.069 0.000
0.000 0.000 4.069
Be Hg Ni
3 1 1
direct
0.000 0.500 0.000 Be
0.000 0.000 0.500 Be
0.500 0.000 0.000 Be
0.500 0.500 0.500 Hg
0.000 0.000 0.000 Ni
```

Energy relative to the elements = 440 meV per atom
D(E_F) = 1.6 states/eV/f.u.
ρ = 7.1 g/cm³
Size of the total moment = 0.0 μB/f.u.
Space-group type = Pm-3m

---

Entry 17:
CaAc2Zn after structural relaxation, computed with PBE.

POSCAR file:
```
CaAc2Zn
1.0
3.837 0.000 0.000
1.919 3.323 0.000
1.919 1.108 13.017
Ca Ac Zn
1 2 1
direct
0.500 0.500 0.500 Ca
0.084 0.084 0.748 Ac
0.916 0.916 0.252 Ac
0.000 0.000 0.000 Zn
```

Energy relative to the elements = 331 meV per atom
D(E_F) = 6.9 states/eV/f.u.
ρ = 5.6 g/cm³
Size of the total moment = 0.1 μB/f.u.
Space-group type = R-3m

---

Entry 18:
GaCoCuMo after structural relaxation, computed with PBE.

POSCAR file:
```
GaCoCuMo
1.0
4.204 0.000 0.000
2.102 3.641 0.000
2.102 1.214 3.432
Cu Ga Co Mo
1 1 1 1
direct
0.000 0.000 0.000 Cu
0.750 0.750 0.750 Ga
0.500 0.500 0.500 Co
0.250 0.250 0.250 Mo
```

Energy relative to the elements = 81 meV per atom
D(E_F) = 3.9 states/eV/f.u.
ρ = 9.1 g/cm³
Size of the total moment = 0.3 μB/f.u.
Space-group type = F-43m

---

Entry 19:
Rb2TlH3 after structural relaxation, computed with PBE.

POSCAR file:
```
Rb2TlH3
1.0
2.776 3.206 -5.723
-3.612 -6.099 -0.703
-8.681 0.452 4.844
H Tl Rb
6 2 4
direct
0.893 0.143 0.750 H
0.826 0.674 0.501 H
0.672 0.325 0.999 H
0.174 0.326 0.499 H
0.107 0.857 0.250 H
0.328 0.675 0.001 H
0.812 0.562 0.250 Tl
0.188 0.438 0.750 Tl
0.419 0.010 0.747 Rb
0.763 0.672 0.753 Rb
0.237 0.328 0.247 Rb
0.581 0.990 0.253 Rb
```

D(E_F) = 0.0 states/eV/f.u.
Energy = -2.36 eV per atom
ρ = 4.1 g/cm³
Size of the total moment = 0.0 μB/f.u.
Space-group type = C2/c

---

Entry 20:
PrSm5 after structural relaxation, computed with PBE.

POSCAR file:
```
PrSm5
1.0
-0.440 -4.617 -2.233
4.384 -1.501 2.240
-6.192 -1.821 4.986
Sm Pr
5 1
direct
0.500 0.167 0.334 Sm
0.000 0.667 0.335 Sm
0.000 0.333 0.665 Sm
0.500 0.500 0.000 Sm
0.500 0.833 0.666 Sm
0.000 0.000 0.000 Pr
```

Energy relative to the elements = 15 meV per atom
D(E_F) = 8.8 states/eV/f.u.
ρ = 7.2 g/cm³
Size of the total moment = 0.0 μB/f.u.
Space-group type = Cmmm

---

Entry 21:
NbTcBRu2 after structural relaxation, computed with PBE.

POSCAR file:
```
NbTcBRu2
1.0
4.076 0.000 0.000
0.000 4.076 0.000
0.000 0.000 4.143
Ru Tc Nb B
2 1 1 1
direct
0.500 0.000 0.000 Ru
0.000 0.500 0.000 Ru
0.000 0.000 0.500 Tc
0.500 0.500 0.500 Nb
0.000 0.000 0.000 B
```

Energy relative to the elements = -230 meV per atom
D(E_F) = 2.8 states/eV/f.u.
ρ = 9.7 g/cm³
Size of the total moment = 0.0 μB/f.u.
Space-group type = P4/mmm

---

Entry 22:
ReSiSe2Br after structural relaxation, computed with PBE.

POSCAR file:
```
ReSiSe2Br
1.0
4.924 0.000 0.000
0.000 4.924 0.000
0.000 0.000 4.902
Si Br Re Se
1 1 1 2
direct
0.000 0.000 0.000 Si
0.000 0.000 0.500 Br
0.500 0.500 0.500 Re
0.000 0.500 0.000 Se
0.500 0.000 0.000 Se
```

D(E_F) = 1.2 states/eV/f.u.
ρ = 6.3 g/cm³
Size of the total moment = 4.8 μB/f.u.
Space-group type = P4/mmm
Formation energy from raw total energies = 1.1609 eV per atom

---

Entry 23:
Cd3PS after structural relaxation, computed with PBE.

POSCAR file:
```
Cd3PS
1.0
5.029 0.000 0.000
0.000 5.029 0.000
0.000 0.000 5.029
Cd S P
3 1 1
direct
0.000 0.000 0.500 Cd
0.500 0.000 0.000 Cd
0.000 0.500 0.000 Cd
0.500 0.500 0.500 S
0.000 0.000 0.000 P
```

D(E_F) = 2.1 states/eV/f.u.
ρ = 5.2 g/cm³
Size of the total moment = 0.0 μB/f.u.
Space-group type = Pm-3m
Formation energy from raw total energies = 0.2135 eV per atom

---

Entry 24:
Ag2TeI after structural relaxation, computed with PBE.

POSCAR file:
```
Ag2TeI
1.0
-2.563 0.817 -4.029
5.265 -2.047 -3.709
-3.871 -6.907 3.886
Te Ag I
2 4 2
direct
0.980 0.186 0.958 Te
0.020 0.814 0.042 Te
0.446 0.637 0.892 Ag
0.850 0.529 0.697 Ag
0.554 0.363 0.108 Ag
0.150 0.471 0.303 Ag
0.720 0.730 0.441 I
0.280 0.270 0.559 I
```

D(E_F) = 0.6 states/eV/f.u.
ρ = 6.0 g/cm³
Size of the total moment = 0.0 μB/f.u.
Space-group type = P-1
Formation energy from raw total energies = -0.1078 eV per atom

---

Entry 25:
Li2ErIn3 after structural relaxation, computed with PBE.

POSCAR file:
```
Li2ErIn3
1.0
4.870 0.000 0.000
-2.435 4.218 0.000
0.000 0.000 13.083
In Er Li
6 2 4
direct
0.333 0.667 0.133 In
0.000 0.000 0.500 In
0.000 0.000 0.000 In
0.667 0.333 0.633 In
0.667 0.333 0.867 In
0.333 0.667 0.367 In
0.000 0.000 0.250 Er
0.000 0.000 0.750 Er
0.667 0.333 0.100 Li
0.333 0.667 0.900 Li
0.333 0.667 0.600 Li
0.667 0.333 0.400 Li
```

Energy relative to the elements = -298 meV per atom
D(E_F) = 2.9 states/eV/f.u.
ρ = 6.5 g/cm³
Size of the total moment = 0.0 μB/f.u.
Space-group type = P6_3/mmc